[1]
A plane-wave DFT calculation with GGA-PBE was carried out for an optimized crystal structure of CePaAlRe.

```
CePaAlRe
1.0
-3.036 -1.170 -3.572
1.717 -0.960 -4.412
-0.101 -4.521 -1.700
Ce Re Pa Al
1 1 1 1
direct
0.750 0.750 0.750 Ce
0.250 0.250 0.250 Re
0.000 0.000 0.000 Pa
0.500 0.500 0.500 Al
```

As for the space group: F-43m, No. 216. Its energy of formation from the pure elements is -0.092 eV/atom. As for the calculated volume: 79.74 Å³ per cell. The spin magnetization comes out at 0.0010 μB per atom.

***

[2]
A plane-wave DFT calculation with GGA-PBE was carried out for an optimized crystal structure of CuRe2Te.

```
CuRe2Te
1.0
-1.879 2.565 0.489
-3.559 -2.584 -0.125
0.293 -0.613 4.347
Cu Te Re
1 1 2
direct
0.500 0.000 0.500 Cu
0.500 0.500 0.000 Te
0.000 0.000 0.000 Re
0.000 0.500 0.500 Re
```

As for the space group: P4/mmm, No. 123. As for the calculated volume: 62.27 Å³ per cell. The spin magnetization comes out at 0.0000 μB per atom. The raw total energy is -7.24 eV/atom.